DFT (PBEsol) results for an optimized crystal structure of AsIrRh.

abc: 2.899 2.899 5.471
angles: 105.36 105.36 90.00
Element x y z (fractional)
Rh 0.348 0.348 0.697
Ir 0.652 0.652 0.305
As 0.999 0.999 0.999

## Properties
Size of the total moment, μB/f.u.: 0.00
Space-group type: I4mm, No. 107
Energy of formation from the pure elements, eV per formula unit: 0.17
E_tot, eV/atom: -7.632



DFT (PBEsol) results for an optimized crystal structure of AsIrRu2.

abc: 2.778 3.904 5.328
angles: 90.00 105.11 90.00
Element x y z (fractional)
As 0.702 0.000 0.405
Ru 0.300 0.500 0.601
Ru 0.935 0.000 0.870
Ir 0.556 0.500 0.111

## Properties
Size of the total moment, μB/f.u.: 0.00
Space-group type: Amm2, No. 38
Energy of formation from the pure elements, eV per formula unit: 0.19
E_tot, eV/atom: -8.771



DFT (PBEsol) results for an optimized crystal structure of As2IrRu.

abc: 3.009 3.834 5.154
angles: 90.00 90.00 90.00
Element x y z (fractional)
Ru 0.500 0.500 0.797
As 0.500 0.500 0.307
As 0.000 0.000 0.942
Ir 0.000 0.000 0.454

## Properties
Size of the total moment, μB/f.u.: 0.00
Space-group type: Pmm2, No. 25
Excess energy over the best structure of this formula in the dataset, eV/atom: 0.0000
Energy of formation from the pure elements, eV per formula unit: -0.28
E_tot, eV/atom: -7.623



DFT (PBEsol) results for an optimized crystal structure of As2IrRu.

abc: 3.408 4.363 4.742
angles: 103.66 90.00 112.99
Element x y z (fractional)
Ru 0.727 0.453 0.119
As 0.020 0.040 0.139
Ir 0.509 0.017 0.524
As 0.245 0.489 0.718

## Properties
Size of the total moment, μB/f.u.: 0.00
Space-group type: Cm, No. 8
Excess energy over the best structure of this formula in the dataset, eV/atom: 0.0561
Energy of formation from the pure elements, eV per formula unit: -0.06
E_tot, eV/atom: -7.567



DFT (PBEsol) results for an optimized crystal structure of TcAsIr2Ru.

abc: 4.498 4.652 4.652
angles: 90.00 90.00 90.00
Element x y z (fractional)
Tc 0.000 0.000 0.000
Ir 0.000 0.000 0.500
Ru 0.500 0.000 0.000
As 0.500 0.500 0.500
Ir 0.000 0.500 0.000

## Properties
Size of the total moment, μB/f.u.: 0.00
Space-group type: P4/mmm, No. 123
Energy of formation from the pure elements, eV per formula unit: 9.06
E_tot, eV/atom: -7.427



DFT (PBEsol) results for an optimized crystal structure of SbAs2Ir.

abc: 3.296 3.296 7.022
angles: 90.00 90.00 90.00
Element x y z (fractional)
Ir 0.000 0.000 0.467
Sb 0.500 0.500 0.695
As 0.500 0.500 0.267
As 0.000 0.000 0.071

## Properties
Size of the total moment, μB/f.u.: 0.00
Formation energy (no corrections), eV per atom: 0.18
Space-group type: P4mm, No. 99
Excess energy over the best structure of this formula in the dataset, eV/atom: 0.2326
E_tot, eV/atom: -5.965



DFT (PBEsol) results for an optimized crystal structure of SbAs2Ir.

abc: 3.770 4.619 4.866
angles: 112.14 90.00 90.00
Element x y z (fractional)
Sb 0.500 0.500 0.000
As 0.000 0.770 0.684
Ir 0.500 0.000 0.500
As 0.000 0.230 0.316

## Properties
Size of the total moment, μB/f.u.: 0.00
Formation energy (no corrections), eV per atom: -0.05
Space-group type: P2/m, No. 10
Excess energy over the best structure of this formula in the dataset, eV/atom: 0.0000
E_tot, eV/atom: -6.197



DFT (PBEsol) results for an optimized crystal structure of ZnSb2AsIr.

abc: 4.675 5.061 5.061
angles: 90.00 90.00 90.00
Element x y z (fractional)
Ir 0.000 0.000 0.000
As 0.500 0.500 0.500
Sb 0.000 0.500 0.000
Zn 0.500 0.000 0.000
Sb 0.000 0.000 0.500

## Properties
Size of the total moment, μB/f.u.: 0.00
Formation energy (no corrections), eV per atom: 0.39
Space-group type: P4/mmm, No. 123
E_tot, eV/atom: -4.734



DFT (PBEsol) results for an optimized crystal structure of Sc2AsIr.

abc: 3.546 3.990 5.612
angles: 110.83 108.42 90.00
Element x y z (fractional)
As 0.529 0.029 0.057
Sc 0.982 0.482 0.965
Sc 0.750 0.750 0.500
Ir 0.239 0.239 0.478

## Properties
Size of the total moment, μB/f.u.: 0.00
Space-group type: Imm2, No. 44
Excess energy over the best structure of this formula in the dataset, eV/atom: 0.0000
Energy of formation from the pure elements, eV per formula unit: -3.48
E_tot, eV/atom: -7.905



DFT (PBEsol) results for an optimized crystal structure of ScAsIr2.

abc: 4.464 4.464 4.464
angles: 60.00 60.00 60.00
Element x y z (fractional)
Sc 0.750 0.750 0.750
As 0.500 0.500 0.500
Ir 0.250 0.250 0.250
Ir 0.000 0.000 0.000

## Properties
Size of the total moment, μB/f.u.: 0.00
Space-group type: F-43m, No. 216
Energy of formation from the pure elements, eV per formula unit: -0.61
E_tot, eV/atom: -7.991



DFT (PBEsol) results for an optimized crystal structure of Sc2AsIr.

abc: 4.635 4.613 4.635
angles: 120.15 90.00 120.15
Element x y z (fractional)
As 0.500 0.000 0.500
Sc 0.250 0.500 0.750
Ir 0.000 0.000 0.000
Sc 0.750 0.500 0.250

## Properties
Size of the total moment, μB/f.u.: 0.00
Space-group type: I4/mmm, No. 139
Excess energy over the best structure of this formula in the dataset, eV/atom: 0.0374
Energy of formation from the pure elements, eV per formula unit: -3.33
E_tot, eV/atom: -7.868



DFT (PBEsol) results for an optimized crystal structure of Sc3AsIr.

abc: 4.932 4.932 4.932
angles: 90.00 90.00 90.00
Element x y z (fractional)
Ir 0.000 0.000 0.000
Sc 0.000 0.000 0.500
As 0.500 0.500 0.500
Sc 0.000 0.500 0.000
Sc 0.500 0.000 0.000

## Properties
Size of the total moment, μB/f.u.: 0.00
Space-group type: Pm-3m, No. 221
Energy of formation from the pure elements, eV per formula unit: -1.54
E_tot, eV/atom: -7.258



DFT (PBEsol) results for an optimized crystal structure of Ti2AsIrSe.

abc: 4.437 4.913 4.913
angles: 90.00 90.00 90.00
Element x y z (fractional)
As 0.500 0.000 0.000
Se 0.500 0.500 0.500
Ti 0.000 0.000 0.500
Ir 0.000 0.000 0.000
Ti 0.000 0.500 0.000

## Properties
Size of the total moment, μB/f.u.: 1.53
Formation energy (no corrections), eV per atom: 0.23
Space-group type: P4/mmm, No. 123
E_tot, eV/atom: -6.859



DFT (PBEsol) results for an optimized crystal structure of As2IrWSe.

abc: 4.692 4.775 4.775
angles: 90.00 90.00 90.00
Element x y z (fractional)
W 0.000 0.000 0.000
As 0.000 0.000 0.500
Se 0.500 0.000 0.000
As 0.000 0.500 0.000
Ir 0.500 0.500 0.500

## Properties
Size of the total moment, μB/f.u.: 0.00
Formation energy (no corrections), eV per atom: 1.27
Space-group type: P4/mmm, No. 123
E_tot, eV/atom: -6.272



DFT (PBEsol) results for an optimized crystal structure of SiAsIr2.

abc: 4.081 4.446 4.081
angles: 62.68 90.00 117.32
Element x y z (fractional)
As 0.000 0.000 0.000
Ir 0.750 0.500 0.750
Ir 0.250 0.500 0.250
Si 0.500 0.000 0.500

## Properties
Size of the total moment, μB/f.u.: 0.00
Formation energy (no corrections), eV per atom: -0.02
Space-group type: I4/mmm, No. 139
Excess energy over the best structure of this formula in the dataset, eV/atom: 0.2320
E_tot, eV/atom: -7.640